Record 1
CuH18N6F2 | PBE | optimized geometry

Unit cell a=6.9396 b=5.8971 c=9.6668 alpha=90.00 beta=110.80 gamma=90.00
Last column: nearest neighbours and their distance in Å.
Fractional coordinates of all 54 atoms:
Cu1 0.1257 0.0000 0.2935  4 N 2.02-2.04
Cu2 0.8743 0.5000 0.7065  4 N 2.02-2.04
H1 0.0051 0.4546 0.9830  1 N 1.03
H2 0.0510 0.3374 0.4378  1 N 1.03
H3 0.0566 0.5842 0.2016  1 N 1.03
H4 0.1189 0.8358 0.7390  1 N 1.03
H5 0.1444 0.6450 0.6141  1 N 1.03
H6 0.1480 0.6514 0.9375  1 N 1.03
H7 0.1986 0.3734 0.9275  1 N 1.02
H8 0.2269 0.5843 0.3743  1 N 1.03
H9 0.3040 0.6534 0.2333  1 N 1.04
H10 0.3180 0.1002 0.1024  1 N 1.03
H11 0.3211 0.8868 0.5686  1 N 1.02
H12 0.3409 0.1651 0.5428  1 N 1.03
H13 0.3751 0.3405 0.1973  1 N 1.02
H14 0.3764 0.0853 0.8741  1 N 1.03
H15 0.3883 0.2914 0.7600  1 N 1.03
H16 0.4413 0.7837 0.0687  1 N 1.03
H17 0.4820 0.9793 0.4862  1 N 1.03
H18 0.4947 0.1044 0.2727  1 N 1.03
H19 0.5053 0.6044 0.7273  1 N 1.03
H20 0.5180 0.4793 0.5138  1 N 1.03
H21 0.5587 0.2837 0.9313  1 N 1.03
H22 0.6117 0.7914 0.2400  1 N 1.03
H23 0.6236 0.5853 0.1259  1 N 1.03
H24 0.6249 0.8405 0.8027  1 N 1.02
H25 0.6591 0.6651 0.4572  1 N 1.03
H26 0.6789 0.3868 0.4314  1 N 1.02
H27 0.6820 0.6002 0.8976  1 N 1.03
H28 0.6960 0.1534 0.7667  1 N 1.04
H29 0.7731 0.0843 0.6257  1 N 1.03
H30 0.8014 0.8734 0.0725  1 N 1.02
H31 0.8520 0.1514 0.0625  1 N 1.03
H32 0.8556 0.1450 0.3859  1 N 1.03
H33 0.8811 0.3358 0.2610  1 N 1.03
H34 0.9434 0.0842 0.7984  1 N 1.03
H35 0.9490 0.8374 0.5622  1 N 1.03
H36 0.9949 0.9546 0.0170  1 N 1.03
N1 0.0426 0.7387 0.6473  3 H 1.03
N2 0.0850 0.4909 0.9136  3 H 1.02-1.03
N3 0.1838 0.6657 0.2738  3 H 1.03-1.04
N4 0.3416 0.0060 0.4986  3 H 1.02-1.03
N5 0.3553 0.1696 0.2063  3 H 1.02-1.03
N6 0.4757 0.1852 0.8426  3 H 1.03
N7 0.5243 0.6852 0.1574  3 H 1.03
N8 0.6447 0.6696 0.7937  3 H 1.02-1.03
N9 0.6584 0.5060 0.5014  3 H 1.02-1.03
N10 0.8162 0.1657 0.7262  3 H 1.03-1.04
N11 0.9150 0.9909 0.0864  3 H 1.02-1.03
N12 0.9574 0.2387 0.3527  3 H 1.03
F1 0.1863 0.9478 0.9274  6 H 1.77-1.88
F2 0.2984 0.4619 0.5662  6 H 1.69-1.90
F3 0.7016 0.9619 0.4338  6 H 1.69-1.90
F4 0.8137 0.4478 0.0726  6 H 1.77-1.88

Calculated total energy in eV per atom: -4.90
Space group: P2_1



Record 2
DyLuNO | PBE | optimized geometry

Unit cell a=4.7728 b=4.7728 c=4.7311 alpha=90.00 beta=90.00 gamma=90.00
Last column: nearest neighbours and their distance in Å.
Fractional coordinates of all 8 atoms:
Dy1 0.2500 0.7500 0.0000  2 O 2.37, 4 N 2.39
Dy2 0.7500 0.2500 0.0000  2 O 2.37, 4 N 2.39
Lu1 0.2500 0.2500 0.5000  2 N 2.36-2.37, 4 O 2.39
Lu2 0.7500 0.7500 0.5000  2 N 2.36-2.37, 4 O 2.39
N1 0.2500 0.2500 0.0018  2 Lu 2.36-2.37, 4 Dy 2.39
N2 0.7500 0.7500 0.9982  2 Lu 2.36-2.37, 4 Dy 2.39
O1 0.2500 0.7500 0.5000  2 Dy 2.37, 4 Lu 2.39
O2 0.7500 0.2500 0.5000  2 Dy 2.37, 4 Lu 2.39

Calculated total energy in eV per atom: -7.94
Space group: P4/nmm



Record 3
CdGaCoHg | PBE | optimized geometry

Unit cell a=6.5366 b=6.5366 c=6.5366 alpha=90.00 beta=90.00 gamma=90.00
Last column: nearest neighbours and their distance in Å.
Fractional coordinates of all 16 atoms:
Cd1 0.0000 0.0000 0.0000  4 Hg 2.83, 4 Ga 2.83
Cd2 0.0000 0.5000 0.5000  4 Hg 2.83, 4 Ga 2.83
Cd3 0.5000 0.0000 0.5000  4 Hg 2.83, 4 Ga 2.83
Cd4 0.5000 0.5000 0.0000  4 Hg 2.83, 4 Ga 2.83
Ga1 0.2500 0.2500 0.2500  4 Cd 2.83, 4 Co 2.83
Ga2 0.2500 0.7500 0.7500  4 Cd 2.83, 4 Co 2.83
Ga3 0.7500 0.2500 0.7500  4 Cd 2.83, 4 Co 2.83
Ga4 0.7500 0.7500 0.2500  4 Cd 2.83, 4 Co 2.83
Co1 0.0000 0.0000 0.5000  4 Hg 2.83, 4 Ga 2.83
Co2 0.0000 0.5000 0.0000  4 Hg 2.83, 4 Ga 2.83
Co3 0.5000 0.0000 0.0000  4 Hg 2.83, 4 Ga 2.83
Co4 0.5000 0.5000 0.5000  4 Hg 2.83, 4 Ga 2.83
Hg1 0.2500 0.2500 0.7500  4 Cd 2.83, 4 Co 2.83
Hg2 0.2500 0.7500 0.2500  4 Cd 2.83, 4 Co 2.83
Hg3 0.7500 0.2500 0.2500  4 Cd 2.83, 4 Co 2.83
Hg4 0.7500 0.7500 0.7500  4 Cd 2.83, 4 Co 2.83

Calculated total energy in eV per atom: -2.48
Space group: F-43m



Record 4
NdTe2O4 | PBE | optimized geometry

Unit cell a=6.6825 b=6.6825 c=6.6825 alpha=117.21 beta=117.21 gamma=94.91
Last column: nearest neighbours and their distance in Å.
Fractional coordinates of all 14 atoms:
Nd1 0.3750 0.6250 0.7500  4 O 2.29
Nd2 0.6250 0.3750 0.2500  4 O 2.29
Te1 0.0000 0.0000 0.0000  4 O 2.29
Te2 0.0000 0.0000 0.5000  4 O 2.29
Te3 0.0000 0.5000 0.0000  4 O 2.29
Te4 0.5000 0.0000 0.5000  4 O 2.29
O1 0.0746 0.6522 0.4224  2 Te 2.29, 1 Nd 2.29, 1 O 2.40
O2 0.2702 0.3478 0.9224  2 Te 2.29, 1 Nd 2.29, 1 O 2.40
O3 0.3478 0.2702 0.4224  2 Te 2.29, 1 Nd 2.29, 1 O 2.40
O4 0.3478 0.9254 0.0776  2 Te 2.29, 1 Nd 2.29, 1 O 2.40
O5 0.6522 0.0746 0.9224  2 Te 2.29, 1 Nd 2.29, 1 O 2.40
O6 0.6522 0.7298 0.5776  2 Te 2.29, 1 Nd 2.29, 1 O 2.40
O7 0.7298 0.6522 0.0776  2 Te 2.29, 1 Nd 2.29, 1 O 2.40
O8 0.9254 0.3478 0.5776  2 Te 2.29, 1 Nd 2.29, 1 O 2.40

Calculated total energy in eV per atom: -5.76
Space group: I4_1/amd



Record 5
SmAlB | PBE | optimized geometry

Unit cell a=6.0027 b=6.0027 c=6.0027 alpha=90.00 beta=90.00 gamma=90.00
Last column: nearest neighbours and their distance in Å.
Fractional coordinates of all 12 atoms:
Sm1 0.0000 0.0000 0.0000  4 B 2.60
Sm2 0.0000 0.5000 0.5000  4 B 2.60
Sm3 0.5000 0.0000 0.5000  4 B 2.60
Sm4 0.5000 0.5000 0.0000  4 B 2.60
Al1 0.0000 0.0000 0.5000  4 B 2.60
Al2 0.0000 0.5000 0.0000  4 B 2.60
Al3 0.5000 0.0000 0.0000  4 B 2.60
Al4 0.5000 0.5000 0.5000  4 B 2.60
B1 0.2500 0.2500 0.7500  4 Sm 2.60, 4 Al 2.60
B2 0.2500 0.7500 0.2500  4 Al 2.60, 4 Sm 2.60
B3 0.7500 0.2500 0.2500  4 Al 2.60, 4 Sm 2.60
B4 0.7500 0.7500 0.7500  4 Sm 2.60, 4 Al 2.60

Calculated total energy in eV per atom: -5.13
Space group: F-43m



Record 6
NaPm5Se8 | PBE | optimized geometry

Unit cell a=7.7074 b=7.7074 c=7.7074 alpha=109.53 beta=109.53 gamma=109.35
Last column: nearest neighbours and their distance in Å.
Fractional coordinates of all 14 atoms:
Na1 0.0000 0.0000 0.0000  8 Se 3.01-3.26
Pm1 0.1184 0.2433 0.6176  8 Se 2.95-3.22
Pm2 0.2500 0.7500 0.5000  8 Se 2.97-3.15
Pm3 0.4992 0.8816 0.1248  8 Se 2.95-3.22
Pm4 0.6257 0.5008 0.3824  8 Se 2.95-3.22
Pm5 0.7567 0.3743 0.8752  8 Se 2.95-3.22
Se1 0.0266 0.6252 0.7497  5 Pm 2.98-3.17, 1 Na 3.01
Se2 0.2362 0.4901 0.1060  5 Pm 2.95-3.22, 1 Na 3.26
Se3 0.3748 0.1245 0.4014  5 Pm 2.98-3.17, 1 Na 3.01
Se4 0.3841 0.1302 0.8940  5 Pm 2.95-3.22, 1 Na 3.26
Se5 0.5099 0.6159 0.7461  5 Pm 2.95-3.22, 1 Na 3.26
Se6 0.7231 0.9734 0.5986  5 Pm 2.98-3.17, 1 Na 3.01
Se7 0.8698 0.7638 0.2539  5 Pm 2.95-3.22, 1 Na 3.26
Se8 0.8755 0.2769 0.2503  5 Pm 2.98-3.17, 1 Na 3.01

Calculated total energy in eV per atom: -5.62
Space group: I-4